ZnFeGe2Br | PBE-GGA | optimized geometry

Unit cell a=4.5370 b=4.9006 c=4.5370 alpha=90.00 beta=90.00 gamma=90.00
Sites, in units of the cell vectors:
Ge: 0.0000 0.0000 0.5000
Ge: 0.5000 0.0000 0.0000
Fe: 0.0000 0.0000 0.0000
Zn: 0.0000 0.5000 0.0000
Br: 0.5000 0.5000 0.5000

Values from the calculation:
Space-group type: P4/mmm (123)
Crystal system: tetragonal
DOS at the Fermi energy: 0.585 states/eV per atom
Volume: 100.9 Å³/cell

=====

Ac4GeS2 | PBE-GGA | optimized geometry

Unit cell a=4.3421 b=8.5411 c=7.4294 alpha=64.58 beta=89.97 gamma=75.25
Sites, in units of the cell vectors:
Ge: 0.0000 0.0000 0.0000
Ac: 0.8748 0.2509 0.5397
Ac: 0.3717 0.2565 0.0365
Ac: 0.6283 0.7435 0.9635
Ac: 0.1252 0.7491 0.4603
S: 0.2542 0.4918 0.2609
S: 0.7458 0.5082 0.7391

Values from the calculation:
Space-group type: C2/m (12)
Crystal system: monoclinic
DOS at the Fermi energy: 0.748 states/eV per atom
Volume: 238.8 Å³/cell

=====

CaPaAlO6 | PBE-GGA | optimized geometry

Unit cell a=4.6809 b=5.4232 c=5.4232 alpha=120.00 beta=90.00 gamma=90.00
Site moments in Bohr magnetons follow the coordinates.
Sites, in units of the cell vectors:
Al: 0.5000 0.0000 0.0000  -0.01
O: 0.7296 0.2750 0.9641  0.29
O: 0.7296 0.6891 0.7250  0.29
O: 0.2704 0.2750 0.3109  0.29
O: 0.2704 0.0359 0.7250  0.29
O: 0.7296 0.0359 0.3109  0.29
O: 0.2704 0.6891 0.9641  0.29
Ca: 0.5000 0.6667 0.3333  0.00
Pa: 0.0000 0.3333 0.6667  -0.07

Values from the calculation:
Space-group type: P312 (149)
Crystal system: trigonal
DOS at the Fermi energy: 0.386 states/eV per atom
Volume: 119.2 Å³/cell

=====

RbRhSe2 | PBE-GGA | optimized geometry

Unit cell a=4.9920 b=4.9920 c=4.9920 alpha=60.00 beta=60.00 gamma=60.00
Site moments in Bohr magnetons follow the coordinates.
Sites, in units of the cell vectors:
Se: 0.2500 0.2500 0.2500  0.04
Se: 0.7500 0.7500 0.7500  0.04
Rh: 0.5000 0.5000 0.5000  0.22
Rb: 0.0000 0.0000 0.0000  0.00

Values from the calculation:
Space-group type: Fm-3m (225)
Crystal system: cubic
DOS at the Fermi energy: 1.267 states/eV per atom
Volume: 88.0 Å³/cell

=====

Ordered energy relative to the elements, uncorrected results: 0.26; -8.86; -23.86; 0.89; unit eV/f.u..